4
Lattice="5.5221 -0.1048 -0.0496 0.7780 5.4680 0.0496 -2.2886 -3.6936 3.4098" Properties=species:S:1:pos:R:3 comment="TlHg2P | Alexandria via LeMat-Bulk | PBE | optimized geometry" final_energy_ev_per_atom=-1.8143 relative_energy_ev_per_fu=0.54 formation_enthalpy_0k_mev_per_atom=281 dos_at_fermi_per_ev_cell=1.65 spacegroup="No. 71" pbc="T T T"
Hg 6.0558 5.1552 0.0000
Hg 3.3944 2.8897 0.0000
P 3.1918 -0.5584 1.6801
Tl 0.8198 2.2280 1.7297

8
Lattice="-3.6602 -1.3580 -4.3151 -4.2932 -0.7064 3.8640 -5.4046 4.5913 -0.7840" Properties=species:S:1:pos:R:3 comment="TlOsRh2 | Alexandria via LeMat-Bulk | PBE | optimized geometry" final_energy_ev_per_atom=-6.0028 relative_energy_ev_per_fu=3.40 formation_enthalpy_0k_mev_per_atom=1072 dos_at_fermi_per_ev_cell=9.98 spacegroup="No. 122" pbc="T T T"
Rh -10.8047 1.6714 -1.1699
Rh -3.9981 0.2766 -2.2009
Rh -4.6693 0.4708 1.4705
Rh -7.2440 2.6351 -0.5700
Tl -6.5208 1.1006 -2.6623
Tl 0.0000 0.0000 0.0000
Os -6.8373 1.4263 1.4272
Os -3.9767 -1.0322 -0.2255

20
Lattice="-17.0641 8.0824 6.8793 -2.4325 -2.0982 -3.5687 5.8142 -5.2889 -0.8535" Properties=species:S:1:pos:R:3 comment="Ti3PtC | Alexandria via LeMat-Bulk | PBE | optimized geometry" final_energy_ev_per_atom=-8.3897 relative_energy_ev_per_fu=1.12 formation_enthalpy_0k_mev_per_atom=-600 dos_at_fermi_per_ev_cell=17.08 spacegroup="No. 51" pbc="T T T"
Ti -10.0766 1.8263 4.1796
Ti -12.5607 3.6905 3.1618
Ti -14.0961 4.7466 5.2024
Ti 0.0946 -1.9461 1.0796
Ti -1.1217 -2.9952 -0.7047
Ti 0.4137 -4.0513 -2.7453
Ti -2.6570 -1.9390 1.3360
Ti -4.4517 0.4296 1.1667
Ti -13.7770 2.6414 1.3775
Ti -9.2307 0.2658 1.2904
Ti -3.6058 -1.1310 -1.7225
Ti -11.0254 2.6343 1.1211
C -14.8748 3.5897 3.1833
C -3.4357 -3.0960 -0.6831
C -10.2467 3.7913 3.1403
C 1.1924 -2.8943 -0.7262
Pt -1.4499 -0.3152 -0.4415
Pt -7.0749 1.0816 2.5714
Pt -6.6075 -0.3862 -0.1143
Pt -12.2325 1.0105 2.8986

4
Lattice="-1.8822 2.6991 3.6630 1.8665 -0.3702 4.5414 2.6014 3.7221 1.9036" Properties=species:S:1:pos:R:3 comment="TbZrPdAu | Alexandria via LeMat-Bulk | PBE | optimized geometry" final_energy_ev_per_atom=-6.0323 formation_enthalpy_0k_mev_per_atom=-620 dos_at_fermi_per_ev_cell=3.30 spacegroup="No. 216" pbc="T T T"
Tb 1.9393 4.5382 7.5810
Pd 1.2929 3.0255 5.0540
Zr 0.6464 1.5127 2.5270
Au 0.0000 0.0000 0.0000